VASP calculation (PBE) on Al2FeTc after structural relaxation.

Cell: 4.247 4.247 4.247 Å, 60.00 60.00 60.00°
Fractional positions:
1 Al 0.000 0.000 0.000
2 Al 0.250 0.250 0.250
3 Fe 0.750 0.750 0.750
4 Tc 0.500 0.500 0.500

Output
Space group: F-43m (216)
Total magnetization, μB per atom: 0.64
Final energy, Ry/atom: -0.4947